Entry from the Alexandria database: an optimized crystal structure of LiFeSi3O8 (PBE with a Hubbard U).

Unit cell a=7.7983 b=7.7983 c=12.9698 alpha=92.54 beta=92.54 gamma=119.54
Last column: nearest neighbours and their distance in Å.
Fractional positions:
1 Li 0.1234 0.6823 0.8800  3 O 1.98-2.10
2 Li 0.3177 0.8766 0.6200  3 O 1.98-2.10
3 Li 0.6823 0.1234 0.3800  3 O 1.98-2.10
4 Li 0.8766 0.3177 0.1200  3 O 1.98-2.10
5 Fe 0.1035 0.4099 0.6663  4 O 1.84-1.94
6 Fe 0.4099 0.1035 0.1663  4 O 1.84-1.94
7 Fe 0.5901 0.8965 0.8337  4 O 1.84-1.94
8 Fe 0.8965 0.5901 0.3337  4 O 1.84-1.94
9 Si 0.0617 0.2625 0.8930  4 O 1.61-1.66
10 Si 0.1364 0.3729 0.3347  4 O 1.62-1.66
11 Si 0.2625 0.0617 0.3930  4 O 1.61-1.66
12 Si 0.2833 0.4291 0.1121  4 O 1.60-1.66
13 Si 0.3729 0.1364 0.8347  4 O 1.62-1.66
14 Si 0.4291 0.2833 0.6121  4 O 1.60-1.66
15 Si 0.5709 0.7167 0.3879  4 O 1.60-1.66
16 Si 0.6271 0.8636 0.1653  4 O 1.62-1.66
17 Si 0.7167 0.5709 0.8879  4 O 1.60-1.66
18 Si 0.7375 0.9383 0.6070  4 O 1.61-1.66
19 Si 0.8636 0.6271 0.6653  4 O 1.62-1.66
20 Si 0.9383 0.7375 0.1070  4 O 1.61-1.66
21 O 0.0662 0.6310 0.6353  1 Si 1.63
22 O 0.1119 0.8277 0.3824  1 Si 1.61
23 O 0.1184 0.3677 0.0132  2 Si 1.65-1.66
24 O 0.1260 0.4404 0.8153  1 Si 1.64
25 O 0.1314 0.3621 0.2066  2 Si 1.66
26 O 0.1407 0.1811 0.3753  2 Si 1.62-1.64
27 O 0.1723 0.8881 0.1176  1 Si 1.61
28 O 0.1811 0.1407 0.8753  2 Si 1.62-1.64
29 O 0.3245 0.4158 0.6120  1 Si 1.60
30 O 0.3310 0.5784 0.3797  2 Si 1.63
31 O 0.3621 0.1314 0.7066  2 Si 1.66
32 O 0.3677 0.1184 0.5132  2 Si 1.65-1.66
33 O 0.3690 0.9338 0.8647  1 Si 1.63
34 O 0.4158 0.3245 0.1120  1 Si 1.60
35 O 0.4216 0.6690 0.1203  2 Si 1.63
36 O 0.4404 0.1260 0.3153  1 Si 1.64
37 O 0.5596 0.8740 0.6847  1 Si 1.64
38 O 0.5784 0.3310 0.8797  2 Si 1.63
39 O 0.5842 0.6755 0.8880  1 Si 1.60
40 O 0.6310 0.0662 0.1353  1 Si 1.63
41 O 0.6323 0.8816 0.4868  2 Si 1.65-1.66
42 O 0.6379 0.8686 0.2934  2 Si 1.66
43 O 0.6690 0.4216 0.6203  2 Si 1.63
44 O 0.6755 0.5842 0.3880  1 Si 1.60
45 O 0.8189 0.8593 0.1247  2 Si 1.62-1.64
46 O 0.8277 0.1119 0.8824  1 Si 1.61
47 O 0.8593 0.8189 0.6247  2 Si 1.62-1.64
48 O 0.8686 0.6379 0.7934  2 Si 1.66
49 O 0.8740 0.5596 0.1847  1 Si 1.64
50 O 0.8816 0.6323 0.9868  2 Si 1.65-1.66
51 O 0.8881 0.1723 0.6176  1 Si 1.61
52 O 0.9338 0.3690 0.3647  1 Si 1.63

Values from the calculation:
* polymorph energy (0 for the lowest one): 0.0054 eV per atom
* M_tot: 19.91 μB per cell
* calculated volume: 683.54 Å³/cell
* space group: No. 15